Computed, not measured: a relaxed CaIn2Hg5 crystal at the PBE-GGA level of DFT.

Values from the calculation:
- ΔE_f (meV/atom) = -157
- final energy (eV/atom) = -1.280
- crystal system = tetragonal
- energy relative to the lowest polymorph listed for this composition (meV/atom) = 45

Cell and atoms, written as POSCAR:
```
CaIn2Hg5
1.0
-4.0467 4.0467 6.5290
4.0467 -4.0467 6.5290
4.0467 4.0467 -6.5290
Ca In Hg
2 4 10
direct
0.2500 0.2500 0.0000
0.7500 0.7500 0.0000
0.1505 0.6505 0.8011
0.3495 0.1505 0.5000
0.6505 0.8495 0.5000
0.8495 0.3495 0.1989
0.0000 0.0000 0.0000
0.0161 0.8126 0.5000
0.1874 0.6874 0.2035
0.3126 0.5161 0.5000
0.4839 0.9839 0.7965
0.5000 0.5000 0.0000
0.5161 0.0161 0.2035
0.6874 0.4839 0.5000
0.8126 0.3126 0.7965
0.9839 0.1874 0.5000
```